Record 1
Below is an optimized crystal structure of La2MgGe, with properties calculated at the PBE level.

The structure in CIF format:
```
data_La2MgGe
_chemical_formula_sum 'La8 Mg4 Ge4'
_cell_length_a 8.6477
_cell_length_b 8.6477
_cell_length_c 6.8809
_cell_angle_alpha 90.00
_cell_angle_beta 90.00
_cell_angle_gamma 90.00
_space_group_name_H-M_alt 'I -4 2 d'
_space_group_IT_number 122
_space_group_name_Hall 'I -4 2bw'
loop_
_atom_site_label
_atom_site_fract_x
_atom_site_fract_y
_atom_site_fract_z
La1 0.2090 0.2500 0.1250
Mg1 0.0000 0.0000 0.5000
Ge1 0.0000 0.0000 0.0000
```

Values from the calculation:
E_form, eV per atom: -0.16
Total moment, μB per atom: 0.0000



Record 2
Below is an optimized crystal structure of La2MgGe, with properties calculated at the PBE level.

The structure in CIF format:
```
data_La2MgGe
_chemical_formula_sum 'La2 Mg1 Ge1'
_cell_length_a 4.0040
_cell_length_b 4.0040
_cell_length_c 7.1171
_cell_angle_alpha 90.00
_cell_angle_beta 90.00
_cell_angle_gamma 90.00
_space_group_name_H-M_alt 'P 4/m m m'
_space_group_IT_number 123
_space_group_name_Hall '-P 4 2'
loop_
_atom_site_label
_atom_site_fract_x
_atom_site_fract_y
_atom_site_fract_z
La1 0.0000 0.0000 0.2156
Mg1 0.5000 0.5000 0.5000
Ge1 0.5000 0.5000 0.0000
```

Values from the calculation:
E_form, eV per atom: -0.45
Total moment, μB per atom: 0.0000



Record 3
Below is an optimized crystal structure of LaMg2Ge2, with properties calculated at the PBE level.

The structure in CIF format:
```
data_LaMg2Ge2
_chemical_formula_sum 'La2 Mg4 Ge4'
_cell_length_a 8.1994
_cell_length_b 8.1994
_cell_length_c 3.2637
_cell_angle_alpha 90.00
_cell_angle_beta 90.00
_cell_angle_gamma 90.00
_space_group_name_H-M_alt 'P 4/m b m'
_space_group_IT_number 127
_space_group_name_Hall '-P 4 2ab'
loop_
_atom_site_label
_atom_site_fract_x
_atom_site_fract_y
_atom_site_fract_z
La1 0.0000 0.0000 0.0000
Mg1 0.1222 0.3778 0.0000
Ge1 0.1740 0.6740 0.5000
```

Values from the calculation:
E_form, eV per atom: -0.31
Total moment, μB per atom: 0.0292
Distance to the lowest polymorph of the same formula, meV per atom: 258



Record 4
Below is an optimized crystal structure of LaMgGe, with properties calculated at the PBE level.

The structure in CIF format:
```
data_LaMgGe
_chemical_formula_sum 'La2 Mg2 Ge2'
_cell_length_a 4.3855
_cell_length_b 4.3855
_cell_length_c 7.7735
_cell_angle_alpha 90.00
_cell_angle_beta 90.00
_cell_angle_gamma 90.00
_space_group_name_H-M_alt 'P 4/n m m'
_space_group_IT_number 129
loop_
_space_group_symop_operation_xyz
'x,y,z'
'-x,-y,-z'
'-y+1/2,x,z'
'y+1/2,-x,-z'
'-x+1/2,-y+1/2,z'
'x+1/2,y+1/2,-z'
'y,-x+1/2,z'
'-y,x+1/2,-z'
'x+1/2,-y,-z'
'-x+1/2,y,z'
'-y,-x,-z'
'y,x,z'
'-x,y+1/2,-z'
'x,-y+1/2,z'
'y+1/2,x+1/2,-z'
'-y+1/2,-x+1/2,z'
loop_
_atom_site_label
_atom_site_fract_x
_atom_site_fract_y
_atom_site_fract_z
La1 0.2500 0.2500 0.1482
Mg1 0.2500 0.7500 0.5000
Ge1 0.2500 0.2500 0.7298
```

Values from the calculation:
E_form, eV per atom: -0.62
Total moment, μB per atom: 0.2252



Record 5
Below is an optimized crystal structure of LaMg3Ge2, with properties calculated at the PBE level.

The structure in CIF format:
```
data_LaMg3Ge2
_chemical_formula_sum 'La4 Mg12 Ge8'
_cell_length_a 16.6744
_cell_length_b 4.4344
_cell_length_c 8.3432
_cell_angle_alpha 90.00
_cell_angle_beta 117.97
_cell_angle_gamma 90.00
_space_group_name_H-M_alt 'C 1 2/m 1'
_space_group_IT_number 12
loop_
_space_group_symop_operation_xyz
'x,y,z'
'-x,-y,-z'
'-x,y,-z'
'x,-y,z'
'x+1/2,y+1/2,z'
'-x+1/2,-y+1/2,-z'
'-x+1/2,y+1/2,-z'
'x+1/2,-y+1/2,z'
loop_
_atom_site_label
_atom_site_fract_x
_atom_site_fract_y
_atom_site_fract_z
La1 0.1453 0.0000 0.0634
Mg1 0.0495 0.0000 0.3785
Mg2 0.1009 0.5000 0.6957
Mg3 0.1878 0.5000 0.4508
Ge1 0.0155 0.5000 0.1645
Ge2 0.2053 0.0000 0.7239
```

Values from the calculation:
E_form, eV per atom: -0.42
Total moment, μB per atom: 0.0000



Record 6
Below is an optimized crystal structure of LaMgGe3, with properties calculated at the PBE level.

The structure in CIF format:
```
data_LaMgGe3
_chemical_formula_sum 'La1 Mg1 Ge3'
_cell_length_a 5.6441
_cell_length_b 5.6441
_cell_length_c 5.6441
_cell_angle_alpha 90.00
_cell_angle_beta 90.00
_cell_angle_gamma 90.00
_space_group_name_H-M_alt 'P m -3 m'
_space_group_IT_number 221
_space_group_name_Hall '-P 4 2 3'
loop_
_atom_site_label
_atom_site_fract_x
_atom_site_fract_y
_atom_site_fract_z
La1 0.0000 0.0000 0.0000
Mg1 0.5000 0.5000 0.5000
Ge1 0.0000 0.0000 0.5000
```

Values from the calculation:
E_form, eV per atom: 0.82
Total moment, μB per atom: 0.0000
Distance to the lowest polymorph of the same formula, meV per atom: 798



Record 7
Below is an optimized crystal structure of LaMg2Ge2, with properties calculated at the PBE level.

The structure in CIF format:
```
data_LaMg2Ge2
_chemical_formula_sum 'La2 Mg4 Ge4'
_cell_length_a 4.7866
_cell_length_b 4.7866
_cell_length_c 10.3228
_cell_angle_alpha 90.00
_cell_angle_beta 90.00
_cell_angle_gamma 90.00
_space_group_name_H-M_alt 'I 4/m m m'
_space_group_IT_number 139
_space_group_name_Hall '-I 4 2'
loop_
_atom_site_label
_atom_site_fract_x
_atom_site_fract_y
_atom_site_fract_z
La1 0.0000 0.0000 0.0000
Mg1 0.0000 0.0000 0.3659
Ge1 0.0000 0.5000 0.2500
```

Values from the calculation:
E_form, eV per atom: -0.34
Total moment, μB per atom: 0.0000
Distance to the lowest polymorph of the same formula, meV per atom: 228



Record 8
Below is an optimized crystal structure of La3MgGe3, with properties calculated at the PBE level.

The structure in CIF format:
```
data_La3MgGe3
_chemical_formula_sum 'La6 Mg2 Ge6'
_cell_length_a 9.1508
_cell_length_b 9.1508
_cell_length_c 6.1559
_cell_angle_alpha 90.00
_cell_angle_beta 90.00
_cell_angle_gamma 120.00
_space_group_name_H-M_alt 'P 63/m'
_space_group_IT_number 176
_space_group_name_Hall '-P 6c'
loop_
_atom_site_label
_atom_site_fract_x
_atom_site_fract_y
_atom_site_fract_z
La1 0.0504 0.7002 0.2500
Mg1 0.3333 0.6667 0.7500
Ge1 0.0447 0.6773 0.7500
```

Values from the calculation:
E_form, eV per atom: -0.58
Total moment, μB per atom: 0.0000



Record 9
Below is an optimized crystal structure of La2Mg2Ge, with properties calculated at the PBE level.

The structure in CIF format:
```
data_La2Mg2Ge
_chemical_formula_sum 'La4 Mg4 Ge2'
_cell_length_a 7.2695
_cell_length_b 7.2695
_cell_length_c 5.2236
_cell_angle_alpha 90.00
_cell_angle_beta 90.00
_cell_angle_gamma 90.00
_space_group_name_H-M_alt 'P 4/m b m'
_space_group_IT_number 127
_space_group_name_Hall '-P 4 2ab'
loop_
_atom_site_label
_atom_site_fract_x
_atom_site_fract_y
_atom_site_fract_z
La1 0.1683 0.3317 0.0000
Mg1 0.1390 0.6390 0.5000
Ge1 0.0000 0.0000 0.5000
```

Values from the calculation:
E_form, eV per atom: -0.22
Total moment, μB per atom: 0.0000



Record 10
Below is an optimized crystal structure of La4Mg3Ge, with properties calculated at the PBE level.

The structure in CIF format:
```
data_La4Mg3Ge
_chemical_formula_sum 'La4 Mg3 Ge1'
_cell_length_a 3.9817
_cell_length_b 3.9817
_cell_length_c 15.0834
_cell_angle_alpha 90.00
_cell_angle_beta 90.00
_cell_angle_gamma 90.00
_space_group_name_H-M_alt 'P 4/m m m'
_space_group_IT_number 123
_space_group_name_Hall '-P 4 2'
loop_
_atom_site_label
_atom_site_fract_x
_atom_site_fract_y
_atom_site_fract_z
La1 0.0000 0.0000 0.1020
La2 0.0000 0.0000 0.3683
Mg1 0.5000 0.5000 0.2410
Mg2 0.5000 0.5000 0.5000
Ge1 0.5000 0.5000 0.0000
```

Values from the calculation:
E_form, eV per atom: -0.28
Total moment, μB per atom: 0.0000



Record 11
Below is an optimized crystal structure of LaMg2Ge2, with properties calculated at the PBE level.

The structure in CIF format:
```
data_LaMg2Ge2
_chemical_formula_sum 'La2 Mg4 Ge4'
_cell_length_a 4.3687
_cell_length_b 4.3687
_cell_length_c 11.8723
_cell_angle_alpha 90.00
_cell_angle_beta 90.00
_cell_angle_gamma 90.00
_space_group_name_H-M_alt 'I 4/m m m'
_space_group_IT_number 139
_space_group_name_Hall '-I 4 2'
loop_
_atom_site_label
_atom_site_fract_x
_atom_site_fract_y
_atom_site_fract_z
La1 0.0000 0.0000 0.0000
Mg1 0.0000 0.5000 0.2500
Ge1 0.0000 0.0000 0.3917
```

Values from the calculation:
E_form, eV per atom: -0.57
Total moment, μB per atom: 0.0000
Distance to the lowest polymorph of the same formula, meV per atom: 0



Record 12
Below is an optimized crystal structure of LaMg2MnGe, with properties calculated at the PBE level.

The structure in CIF format:
```
data_LaMg2MnGe
_chemical_formula_sum 'La1 Mg2 Mn1 Ge1'
_cell_length_a 5.1226
_cell_length_b 5.1226
_cell_length_c 4.7855
_cell_angle_alpha 90.00
_cell_angle_beta 90.00
_cell_angle_gamma 90.00
_space_group_name_H-M_alt 'P 4/m m m'
_space_group_IT_number 123
_space_group_name_Hall '-P 4 2'
loop_
_atom_site_label
_atom_site_fract_x
_atom_site_fract_y
_atom_site_fract_z
La1 0.0000 0.0000 0.0000
Mg1 0.0000 0.5000 0.5000
Mn1 0.5000 0.5000 0.0000
Ge1 0.5000 0.5000 0.5000
```

Values from the calculation:
E_form, eV per atom: 0.19
Total moment, μB per atom: 0.5673



no.,total DFT energy (no corrections) (eV per atom)
1,-4.17
2,-4.46
3,-3.78
4,-4.33
5,-3.58
6,-3.25
7,-3.81
8,-4.90
9,-3.75
10,-3.92
11,-4.04
12,-4.19